Entry 1:
Computed, not measured: a geometry-optimized Zn2CrMo structure at the GGA-PBE level of DFT.

Cell: 2.626 2.626 8.633 Å, 90.00 90.00 107.19°
Positions (direct):
Zn  0.500  0.500  0.260
Zn  0.000  0.000  0.001
Mo  0.500  0.500  0.739
Cr  0.000  0.000  0.500

Values from the calculation:
ΔH_f (0 K) ... 0.13 eV/atom
Space-group type ... Cmm2, No. 35
Energy above the most stable polymorph in this dataset ... 0.0000 eV/atom
Mass density ... 8.14 g/cm3

Entry 2:
Computed, not measured: a geometry-optimized Ac2TlHg4 structure at the GGA-PBE level of DFT.

Cell: 5.620 5.620 9.188 Å, 107.81 107.81 90.00°
Positions (direct):
Tl  0.000  0.000  0.000
Hg  0.815  0.815  0.630
Hg  0.185  0.185  0.370
Hg  0.500  0.000  0.000
Hg  0.000  0.500  0.000
Ac  0.621  0.621  0.241
Ac  0.379  0.379  0.759

Values from the calculation:
ΔH_f (0 K) ... -0.02 eV/atom
Space-group type ... I4/mmm, No. 139
Energy above the most stable polymorph in this dataset ... 0.3243 eV/atom
Mass density ... 9.27 g/cm3